1.
VASP calculation (PBE-GGA) on a relaxed structure of CsNaCuHg2.

Cell: 5.326 5.326 5.677 Å, 90.00 90.00 90.00°
Fractional coordinates of all 5 atoms:
Cu: 0.000 0.000 0.000
Na: 0.000 0.000 0.500
Cs: 0.500 0.500 0.500
Hg: 0.500 0.000 0.000
Hg: 0.000 0.500 0.000

Computed properties:
The calculation puts the total energy at -1.406 eV/atom. The total magnetic moment comes out at 0.00 μB per atom. For the energy relative to the elements, the calculation gives -0.03 eV/atom.

2.
VASP calculation (PBE-GGA) on a relaxed structure of Dy4ZnAg.

Cell: 4.959 4.959 7.102 Å, 90.00 90.00 90.00°
Fractional coordinates of all 6 atoms:
Dy: 0.501 0.997 0.743
Dy: 0.001 0.497 0.254
Dy: 0.001 0.497 0.743
Dy: 0.501 0.997 0.254
Zn: 0.001 0.997 0.498
Ag: 0.501 0.497 0.998

Computed properties:
The calculation puts the total energy at -3.728 eV/atom. The total magnetic moment comes out at 0.00 μB per atom. For the energy relative to the elements, the calculation gives 0.03 eV/atom.

3.
VASP calculation (PBE-GGA) on a relaxed structure of NdPuTe3.

Cell: 4.385 7.733 9.857 Å, 90.00 90.00 90.00°
Last column: magnetic moment on the atom in μB.
Fractional coordinates of all 10 atoms:
Pu: 0.750 0.250 0.155  5.26
Pu: 0.250 0.750 0.845  5.26
Nd: 0.250 0.250 0.600  0.00
Nd: 0.750 0.750 0.400  0.00
Te: 0.250 0.025 0.323  -0.06
Te: 0.250 0.250 0.936  -0.14
Te: 0.750 0.525 0.677  -0.06
Te: 0.750 0.975 0.677  -0.06
Te: 0.750 0.750 0.064  -0.14
Te: 0.250 0.475 0.323  -0.06

Computed properties:
The calculation puts the total energy at -6.848 eV/atom. The total magnetic moment comes out at 1.01 μB per atom.

4.
VASP calculation (PBE-GGA) on a relaxed structure of U2BeB2Ir5.

Cell: 3.259 9.372 9.372 Å, 90.00 90.00 90.00°
Last column: magnetic moment on the atom in μB.
Fractional coordinates of all 20 atoms:
Ir: 0.500 0.500 0.000  -0.04
Ir: 0.500 0.288 0.566  -0.03
Ir: 0.500 0.434 0.288  -0.03
Ir: 0.500 0.212 0.066  -0.03
Ir: 0.500 0.566 0.712  -0.03
Ir: 0.500 0.934 0.212  -0.03
Ir: 0.500 0.000 0.500  -0.04
Ir: 0.500 0.712 0.434  -0.03
Ir: 0.500 0.066 0.788  -0.03
Ir: 0.500 0.788 0.934  -0.03
B: 0.000 0.377 0.123  0.01
B: 0.000 0.623 0.877  0.01
B: 0.000 0.877 0.377  0.01
B: 0.000 0.123 0.623  0.01
U: 0.000 0.821 0.679  1.66
U: 0.000 0.179 0.321  1.66
U: 0.000 0.679 0.179  1.66
U: 0.000 0.321 0.821  1.66
Be: 0.000 0.500 0.500  -0.01
Be: 0.000 0.000 0.000  -0.01

Computed properties:
The calculation puts the total energy at -8.804 eV/atom. The total magnetic moment comes out at 0.34 μB per atom. For the energy relative to the elements, the calculation gives -0.41 eV/atom.